Entry 1:
# YFeSi2

A crystal of YFeSi2 relaxed with PBEsol (meta-GGA SCAN, Alexandria via LeMat-Bulk).

```
data_YFeSi2
_chemical_formula_sum 'Y3 Fe3 Si6'
_cell_length_a 3.0240
_cell_length_b 3.0240
_cell_length_c 24.6407
_cell_angle_alpha 90.00
_cell_angle_beta 90.00
_cell_angle_gamma 120.00
_space_group_name_H-M_alt 'R 3 m'
_space_group_IT_number 160
_space_group_name_Hall 'R 3 -2"'
loop_
_atom_site_label
_atom_site_type_symbol
_atom_site_fract_x
_atom_site_fract_y
_atom_site_fract_z
Y1 Y 0.0000 0.0000 0.0000
Fe1 Fe 0.0000 0.0000 0.2425
Si1 Si 0.0000 0.0000 0.5130
Si2 Si 0.0000 0.0000 0.7664
```

=====

Entry 2:
# Y3Fe2Si3

A crystal of Y3Fe2Si3 relaxed with PBEsol (meta-GGA SCAN, Alexandria via LeMat-Bulk).

```
data_Y3Fe2Si3
_chemical_formula_sum 'Y12 Fe8 Si12'
_cell_length_a 4.039
_cell_length_b 10.405
_cell_length_c 13.443
_cell_angle_alpha 90.00
_cell_angle_beta 90.00
_cell_angle_gamma 90.00
_space_group_name_H-M_alt 'C m c m'
_space_group_IT_number 63
_space_group_name_Hall '-C 2c 2'
loop_
_atom_site_label
_atom_site_type_symbol
_atom_site_fract_x
_atom_site_fract_y
_atom_site_fract_z
Y1 Y 0.000 0.081 0.112
Y2 Y 0.000 0.366 0.250
Fe1 Fe 0.000 0.215 0.581
Si1 Si 0.000 0.322 0.750
Si2 Si 0.000 0.374 0.040
```

=====

Entry 3:
# Y2Fe3Si5

A crystal of Y2Fe3Si5 relaxed with PBEsol (meta-GGA SCAN, Alexandria via LeMat-Bulk).

```
data_Y2Fe3Si5
_chemical_formula_sum 'Y8 Fe12 Si20'
_cell_length_a 10.251
_cell_length_b 10.251
_cell_length_c 5.418
_cell_angle_alpha 90.00
_cell_angle_beta 90.00
_cell_angle_gamma 90.00
_space_group_name_H-M_alt 'P 4/m n c'
_space_group_IT_number 128
_space_group_name_Hall '-P 4 2n'
loop_
_atom_site_label
_atom_site_type_symbol
_atom_site_fract_x
_atom_site_fract_y
_atom_site_fract_z
Y1 Y 0.069 0.236 0.000
Fe1 Fe 0.000 0.500 0.250
Fe2 Fe 0.123 0.855 0.500
Si1 Si 0.000 0.000 0.268
Si2 Si 0.022 0.320 0.500
Si3 Si 0.178 0.678 0.250
```

=====

Number 1: uncorrected formation energy 145 kJ/mol of formula units, energy -16.126 eV per atom. Number 2: uncorrected formation energy -470 kJ/mol of formula units, energy -19.338 eV per atom. Number 3: uncorrected formation energy -591 kJ/mol of formula units, energy -16.628 eV per atom.